Entry 1:
ZrSc2Rh: relaxed, GGA-PBE.

Computed properties:
SG: P2/m, No. 10
Relative energy among the computed polymorphs, kJ per mole of atoms: 12.9

a b c (Å): 3.1919 4.4374 5.8748
angles (deg): 90.00 105.15 90.00
Closest atoms and distances in Å follow each position.
Positions (direct):
Zr1 0.0000 0.0000 0.0000  2 Rh 2.94, 8 Sc 3.09-3.18, 2 Zr 3.19
Sc1 0.3970 0.5000 0.7302  2 Rh 2.73, 1 Sc 2.95
Sc2 0.6030 0.5000 0.2698  2 Rh 2.73, 1 Sc 2.95
Rh1 0.0000 0.0000 0.5000  4 Sc 2.73, 2 Zr 2.94

Entry 2:
ZrSc2Rh3: relaxed, GGA-PBE.

Computed properties:
SG: P4/mmm, No. 123
Relative energy among the computed polymorphs, kJ per mole of atoms: 0.4

a b c (Å): 3.2888 3.2888 9.6082
angles (deg): 90.00 90.00 90.00
Closest atoms and distances in Å follow each position.
Positions (direct):
Zr1 0.0000 0.0000 0.0000  8 Rh 2.82
Sc1 0.0000 0.0000 0.3374  8 Rh 2.80-2.85, 1 Sc 3.12
Sc2 0.0000 0.0000 0.6626  8 Rh 2.80-2.85, 1 Sc 3.12
Rh1 0.5000 0.5000 0.1655  4 Zr 2.82, 4 Sc 2.85
Rh2 0.5000 0.5000 0.5000  8 Sc 2.80
Rh3 0.5000 0.5000 0.8345  4 Zr 2.82, 4 Sc 2.85

Entry 3:
Zr2ScRh3: relaxed, GGA-PBE.

Computed properties:
SG: Cmmm, No. 65

a b c (Å): 7.2769 7.2769 6.6510
angles (deg): 90.00 90.00 143.09
Closest atoms and distances in Å follow each position.
Positions (direct):
Zr1 0.0000 0.0000 0.0000  8 Rh 2.84-2.85
Zr2 0.0000 0.0000 0.5000  8 Rh 2.83
Zr3 0.3332 0.6668 0.0000  8 Rh 2.85
Zr4 0.6668 0.3332 0.0000  8 Rh 2.85
Sc1 0.3316 0.6684 0.5000  8 Rh 2.81-2.85
Sc2 0.6684 0.3316 0.5000  8 Rh 2.81-2.85
Rh1 0.1665 0.8335 0.2517  3 Sc 2.81-2.83, 5 Zr 2.83-2.85
Rh2 0.1665 0.8335 0.7483  3 Sc 2.81-2.83, 5 Zr 2.83-2.85
Rh3 0.5000 0.5000 0.2524  6 Zr 2.83-2.85, 2 Sc 2.85
Rh4 0.5000 0.5000 0.7476  6 Zr 2.83-2.85, 2 Sc 2.85
Rh5 0.8335 0.1665 0.2517  3 Sc 2.81-2.83, 5 Zr 2.83-2.85
Rh6 0.8335 0.1665 0.7483  3 Sc 2.81-2.83, 5 Zr 2.83-2.85

Entry 4:
Zr3ScRh: relaxed, GGA-PBE.

Computed properties:
SG: Cmc2_1, No. 36
Relative energy among the computed polymorphs, kJ per mole of atoms: 0.0

a b c (Å): 6.3623 6.3623 5.7165
angles (deg): 90.00 90.00 104.46
Closest atoms and distances in Å follow each position.
Positions (direct):
Zr1 0.0486 0.3536 0.4681  2 Rh 2.68-2.85
Zr2 0.1208 0.8792 0.5000  1 Rh 2.61
Zr3 0.3536 0.0486 0.9681  2 Rh 2.68-2.85
Zr4 0.6464 0.9514 0.4681  2 Rh 2.68-2.85
Zr5 0.8792 0.1208 0.0000  1 Rh 2.61
Zr6 0.9514 0.6464 0.9681  2 Rh 2.68-2.85
Sc1 0.4079 0.5921 0.7956  2 Rh 2.63-2.64
Sc2 0.5921 0.4079 0.2957  2 Rh 2.63-2.64
Rh1 0.3329 0.6671 0.2381  5 Zr 2.61-2.85, 2 Sc 2.63-2.64
Rh2 0.6671 0.3329 0.7381  5 Zr 2.61-2.85, 2 Sc 2.63-2.64

Entry 5:
ZrSc2Rh: relaxed, GGA-PBE.

Computed properties:
SG: P4mm, No. 99
Relative energy among the computed polymorphs, kJ per mole of atoms: 6.0

a b c (Å): 3.3228 3.3228 7.5558
angles (deg): 90.00 90.00 90.00
Closest atoms and distances in Å follow each position.
Positions (direct):
Zr1 0.0000 0.0000 0.0000  4 Rh 2.89, 5 Sc 3.11-3.13
Sc1 0.0000 0.0000 0.4148  4 Rh 2.76
Sc2 0.5000 0.5000 0.7311  4 Zr 3.11, 8 Sc 3.32-3.35
Rh1 0.5000 0.5000 0.2229  4 Sc 2.76, 4 Zr 2.89

Entry 6:
ZrScRh: relaxed, GGA-PBE.

Computed properties:
SG: F-43m, No. 216
Relative energy among the computed polymorphs, kJ per mole of atoms: 17.2

a b c (Å): 6.4099 6.4099 6.4099
angles (deg): 90.00 90.00 90.00
Closest atoms and distances in Å follow each position.
Positions (direct):
Zr1 0.0000 0.0000 0.0000  4 Rh 2.78
Zr2 0.0000 0.5000 0.5000  4 Rh 2.78
Zr3 0.5000 0.0000 0.5000  4 Rh 2.78
Zr4 0.5000 0.5000 0.0000  4 Rh 2.78
Sc1 0.0000 0.0000 0.5000  4 Rh 2.78
Sc2 0.0000 0.5000 0.0000  4 Rh 2.78
Sc3 0.5000 0.0000 0.0000  4 Rh 2.78
Sc4 0.5000 0.5000 0.5000  4 Rh 2.78
Rh1 0.2500 0.2500 0.2500  4 Zr 2.78, 4 Sc 2.78
Rh2 0.2500 0.7500 0.7500  4 Zr 2.78, 4 Sc 2.78
Rh3 0.7500 0.2500 0.7500  4 Zr 2.78, 4 Sc 2.78
Rh4 0.7500 0.7500 0.2500  4 Zr 2.78, 4 Sc 2.78

Entry 7:
ZrSc4Rh: relaxed, GGA-PBE.

Computed properties:
SG: C2/m, No. 12
Relative energy among the computed polymorphs, kJ per mole of atoms: 0.0

a b c (Å): 10.9781 3.3452 7.5425
angles (deg): 90.00 110.86 90.00
Closest atoms and distances in Å follow each position.
Positions (direct):
Zr1 0.0000 0.0000 0.0000  10 Sc 3.10-3.40, 2 Zr 3.35
Zr2 0.5000 0.5000 0.0000  10 Sc 3.10-3.40, 2 Zr 3.35
Sc1 0.1354 0.5000 0.3630  2 Rh 2.68
Sc2 0.1695 0.5000 0.8060  2 Rh 2.92, 2 Sc 3.13-3.23, 2 Zr 3.22
Sc3 0.3305 0.0000 0.1940  2 Rh 2.92, 2 Sc 3.13-3.23, 2 Zr 3.22
Sc4 0.3646 0.0000 0.6370  2 Rh 2.68
Sc5 0.6354 0.0000 0.3630  2 Rh 2.68
Sc6 0.6695 0.0000 0.8060  2 Rh 2.92, 2 Sc 3.13-3.23, 2 Zr 3.22
Sc7 0.8305 0.5000 0.1940  2 Rh 2.92, 2 Sc 3.13-3.23, 2 Zr 3.22
Sc8 0.8646 0.5000 0.6370  2 Rh 2.68
Rh1 0.0000 0.0000 0.5000  8 Sc 2.68-2.92
Rh2 0.5000 0.5000 0.5000  8 Sc 2.68-2.92

Entry 8:
Zr2Sc2Rh: relaxed, GGA-PBE.

Computed properties:
SG: P4/mbm, No. 127
Relative energy among the computed polymorphs, kJ per mole of atoms: 0.0

a b c (Å): 6.6073 6.6073 4.9898
angles (deg): 90.00 90.00 90.00
Closest atoms and distances in Å follow each position.
Positions (direct):
Zr1 0.1579 0.3421 0.0000  1 Zr 2.95, 6 Sc 3.05-3.24
Zr2 0.3421 0.8421 0.0000  1 Zr 2.95, 6 Sc 3.05-3.24
Zr3 0.6579 0.1579 0.0000  1 Zr 2.95, 6 Sc 3.05-3.24
Zr4 0.8421 0.6579 0.0000  1 Zr 2.95, 6 Sc 3.05-3.24
Sc1 0.1538 0.6538 0.5000  2 Rh 2.50
Sc2 0.3462 0.1538 0.5000  2 Rh 2.50
Sc3 0.6538 0.8462 0.5000  2 Rh 2.50
Sc4 0.8462 0.3462 0.5000  2 Rh 2.50
Rh1 0.0000 0.0000 0.5000  4 Sc 2.50
Rh2 0.5000 0.5000 0.5000  4 Sc 2.50

Entry 9:
Zr5ScRh6: relaxed, GGA-PBE.

Computed properties:
SG: Cmmm, No. 65

a b c (Å): 7.3363 7.3363 6.6076
angles (deg): 90.00 90.00 143.08
Closest atoms and distances in Å follow each position.
Positions (direct):
Zr1 0.0000 0.0000 0.0000  8 Rh 2.85
Zr2 0.3333 0.6667 0.0000  8 Rh 2.85-2.86
Zr3 0.3348 0.6652 0.5000  8 Rh 2.83-2.86
Zr4 0.6652 0.3348 0.5000  8 Rh 2.83-2.86
Zr5 0.6667 0.3333 0.0000  8 Rh 2.85-2.86
Sc1 0.0000 0.0000 0.5000  8 Rh 2.84-2.85
Rh1 0.1662 0.8338 0.2515  1 Sc 2.84, 7 Zr 2.84-2.86
Rh2 0.1662 0.8338 0.7485  1 Sc 2.84, 7 Zr 2.84-2.86
Rh3 0.5000 0.5000 0.2509  6 Zr 2.83-2.85, 2 Sc 2.85
Rh4 0.5000 0.5000 0.7491  6 Zr 2.83-2.85, 2 Sc 2.85
Rh5 0.8338 0.1662 0.2515  1 Sc 2.84, 7 Zr 2.84-2.86
Rh6 0.8338 0.1662 0.7485  1 Sc 2.84, 7 Zr 2.84-2.86

Entry 10:
Zr2Sc2Rh: relaxed, GGA-PBE.

Computed properties:
SG: P4/mbm, No. 127
Relative energy among the computed polymorphs, kJ per mole of atoms: 0.7

a b c (Å): 6.7248 6.7248 4.9802
angles (deg): 90.00 90.00 90.00
Closest atoms and distances in Å follow each position.
Positions (direct):
Zr1 0.1495 0.3504 0.0000  2 Rh 2.56, 1 Zr 2.84
Zr2 0.3504 0.8504 0.0000  2 Rh 2.56, 1 Zr 2.84
Zr3 0.6496 0.1495 0.0000  2 Rh 2.56, 1 Zr 2.84
Zr4 0.8504 0.6496 0.0000  2 Rh 2.56, 1 Zr 2.84
Sc1 0.1630 0.6630 0.5000  6 Zr 3.06-3.26, 1 Sc 3.10
Sc2 0.3370 0.1630 0.5000  6 Zr 3.06-3.26, 1 Sc 3.10
Sc3 0.6630 0.8370 0.5000  6 Zr 3.06-3.26, 1 Sc 3.10
Sc4 0.8370 0.3370 0.5000  6 Zr 3.06-3.26, 1 Sc 3.10
Rh1 0.0000 0.0000 0.0000  4 Zr 2.56
Rh2 0.5000 0.5000 0.0000  4 Zr 2.56

Entry 11:
Zr2ScRh3: relaxed, GGA-PBE.

Computed properties:
SG: P4/mmm, No. 123

a b c (Å): 3.3218 3.3218 9.5923
angles (deg): 90.00 90.00 90.00
Closest atoms and distances in Å follow each position.
Positions (direct):
Zr1 0.0000 0.0000 0.1695  8 Rh 2.83-2.86
Zr2 0.0000 0.0000 0.8305  8 Rh 2.83-2.86
Sc1 0.0000 0.0000 0.5000  8 Rh 2.84, 2 Zr 3.17
Rh1 0.5000 0.5000 0.0000  8 Zr 2.86
Rh2 0.5000 0.5000 0.3338  4 Zr 2.83, 4 Sc 2.84
Rh3 0.5000 0.5000 0.6662  4 Zr 2.83, 4 Sc 2.84

Entry 12:
ZrSc2Rh: relaxed, GGA-PBE.

Computed properties:
SG: Cmcm, No. 63
Relative energy among the computed polymorphs, kJ per mole of atoms: 0.0

a b c (Å): 3.4068 11.3098 8.7158
angles (deg): 90.00 90.00 90.00
Closest atoms and distances in Å follow each position.
Positions (direct):
Zr1 0.0000 0.0617 0.2500  2 Rh 2.74
Zr2 0.0000 0.9383 0.7500  2 Rh 2.74
Zr3 0.5000 0.4383 0.7500  2 Rh 2.74
Zr4 0.5000 0.5617 0.2500  2 Rh 2.74
Sc1 0.0000 0.3672 0.0622  2 Rh 2.70
Sc2 0.0000 0.3672 0.4378  2 Rh 2.70
Sc3 0.0000 0.6328 0.5622  2 Rh 2.70
Sc4 0.0000 0.6328 0.9378  2 Rh 2.70
Sc5 0.5000 0.1328 0.5622  2 Rh 2.70
Sc6 0.5000 0.1328 0.9378  2 Rh 2.70
Sc7 0.5000 0.8672 0.0622  2 Rh 2.70
Sc8 0.5000 0.8672 0.4378  2 Rh 2.70
Rh1 0.0000 0.2487 0.7500  4 Sc 2.70, 2 Zr 2.74
Rh2 0.0000 0.7513 0.2500  4 Sc 2.70, 2 Zr 2.74
Rh3 0.5000 0.2513 0.2500  4 Sc 2.70, 2 Zr 2.74
Rh4 0.5000 0.7487 0.7500  4 Sc 2.70, 2 Zr 2.74

Entry 13:
Zr3ScRh4: relaxed, GGA-PBE.

Computed properties:
SG: Pmmm, No. 47

a b c (Å): 3.3109 4.6239 9.2574
angles (deg): 90.00 90.00 90.00
Closest atoms and distances in Å follow each position.
Positions (direct):
Zr1 0.0000 0.0000 0.0000  8 Rh 2.84-2.86
Zr2 0.0000 0.5000 0.2529  8 Rh 2.82-2.87
Zr3 0.0000 0.5000 0.7471  8 Rh 2.82-2.87
Sc1 0.0000 0.0000 0.5000  8 Rh 2.83-2.84
Rh1 0.5000 0.0000 0.2515  2 Sc 2.83, 6 Zr 2.84-2.86
Rh2 0.5000 0.0000 0.7485  2 Sc 2.83, 6 Zr 2.84-2.86
Rh3 0.5000 0.5000 0.0000  8 Zr 2.84-2.87
Rh4 0.5000 0.5000 0.5000  4 Zr 2.82, 4 Sc 2.84

The records above yield formation enthalpy at 0 K values of -348; -937; -849; -190; -420; -451; -336; -173; -804; -166; -851; -482; -826 meV per atom, respectively.